12
Lattice="0.637 -6.206 1.006 5.282 -2.044 -2.791 3.136 -2.072 5.081" Properties=species:S:1:pos:R:3 comment="PmTh2N3 (PBE-GGA, optimized geometry)" e_form_raw_ev_per_atom=-1.5513 total_magnetization_mub_per_fu=0.00 e_tot_ev_per_atom=-8.979 space_group="No. 12" pbc="T T T"
Pm 1.256 -2.760 2.027
Pm 2.516 -5.518 4.059
Th 0.000 0.000 0.000
Th 2.960 -4.125 -0.893
Th 4.225 -6.881 1.150
Th 4.829 -3.441 2.146
N 2.755 -4.855 1.528
N 4.401 -6.237 -1.304
N 6.300 -5.467 1.767
N 4.999 -2.724 -0.332
N 4.056 -7.598 3.628
N 1.518 -2.012 -0.481